Density functional theory data (GGA-PBE) for a geometry-optimized AlZn2Si structure.

Summary:
Its magnetization is 0.00 Bohr magnetons per cell. The value obtained for the formation energy (no corrections) is 0.151 eV per atom.

Unit cell a=2.7665 b=2.7665 c=28.2762 alpha=90.00 beta=90.00 gamma=120.00
Space group R-3m (No. 166, hexagonal axes)
Symmetry-distinct sites (fractional):
Al 0.0000 0.0000 0.0000 (multiplicity 3)
Zn 0.0000 0.0000 0.2523 (multiplicity 6)
Si 0.0000 0.0000 0.5000 (multiplicity 3)